The following is a DFT calculation (GGA+U) of crystalline MnMo3F at its relaxed geometry.

Unit cell a=4.3326 b=4.3326 c=4.3326 alpha=90.00 beta=90.00 gamma=90.00
Closest atoms and distances in Å follow each position.
Fractional coordinates of all 5 atoms:
1 Mn 0.0000 0.0000 0.0000  12 Mo 3.06
2 Mo 0.0000 0.5000 0.5000  2 F 2.17
3 Mo 0.5000 0.0000 0.5000  2 F 2.17
4 Mo 0.5000 0.5000 0.0000  2 F 2.17
5 F 0.5000 0.5000 0.5000  6 Mo 2.17

The theoretical density is 7.4 g/cm³. The size of the total moment comes out at 0.935 μB per formula unit. As for the total energy: -4.881 eV/atom.